# 1
Density functional theory data (PBE-GGA) for an optimized crystal structure of Pa2CrGeN5.

Space group: No. 36
Crystal system: orthorhombic
Formation energy (no corrections) (eV/atom): -0.886

a b c (Å): 3.2327 6.9793 9.6842
angles (deg): 90.00 90.00 103.39
Last column: nearest neighbours and their distance in Å.
Atoms (fractional coordinates):
N  0.6357  0.2714  0.5009  1 Cr 2.02
N  0.2864  0.5728  0.6566  2 Cr 2.10, 1 Pa 2.29
N  0.6877  0.3753  0.8754  1 Ge 1.98, 2 Cr 2.16
N  0.3123  0.6247  0.3754  1 Ge 1.98, 2 Cr 2.16
N  0.3643  0.7286  0.0009  1 Cr 2.02
N  0.5035  0.0070  0.2799  1 Ge 1.86
N  0.4965  0.9930  0.7799  1 Ge 1.86
N  0.9451  0.8901  0.5546  2 Ge 1.88
N  0.7136  0.4272  0.1566  2 Cr 2.10, 1 Pa 2.29
N  0.0549  0.1099  0.0546  2 Ge 1.88
Pa  0.8813  0.7625  0.1795  5 N 2.29-2.51
Pa  0.1187  0.2375  0.6795  5 N 2.29-2.51
Pa  0.8572  0.7144  0.8040  7 N 2.36-2.50
Pa  0.1428  0.2856  0.3040  7 N 2.36-2.50
Cr  0.7838  0.5677  0.5184  6 N 2.02-2.22
Cr  0.2162  0.4323  0.0184  6 N 2.02-2.22
Ge  0.5531  0.1063  0.9547  4 N 1.86-1.98
Ge  0.4469  0.8937  0.4547  4 N 1.86-1.98


# 2
Density functional theory data (PBE-GGA) for an optimized crystal structure of CrReGeN2.

Space group: No. 123
Crystal system: tetragonal
Formation energy (no corrections) (eV/atom): 0.907

a b c (Å): 3.7930 5.1347 3.7930
angles (deg): 90.00 90.00 90.00
Last column: nearest neighbours and their distance in Å.
Atoms (fractional coordinates):
Re  0.0000  0.0000  0.0000  4 N 1.90
Cr  0.0000  0.5000  0.0000  2 Re 2.57, 4 Ge 2.68
N  0.5000  0.0000  0.0000  2 Re 1.90
N  0.0000  0.0000  0.5000  2 Re 1.90
Ge  0.5000  0.5000  0.5000  4 Cr 2.68


- Look up the formation energy (no corrections) of the first one.
  -0.886 eV/atom


- Look up the formation energy (no corrections) of the second one.
  0.907 eV/atom


- Which formula does entry 1 have?
  Pa2CrGeN5